[1]
## RbSr3W (PBE-GGA)

Data for a relaxed structure of RbSr3W.

Energy relative to the lowest polymorph listed for this composition ... 0.0 kJ/mol of atoms
E_tot ... -14.43 eV per formula unit
Energy relative to the elements ... 907 meV per atom

a = 6.131 Å, b = 6.131 Å, c = 6.131 Å
α = 90.00°, β = 90.00°, γ = 90.00°
Space group Pm-3m (No. 221)
One atom of each set of equivalent atoms:
Rb  0.000  0.000  0.000 x1
Sr  0.000  0.500  0.500 x3
W  0.500  0.500  0.500 x1


[2]
## Rb3SrW (PBE-GGA)

Data for a relaxed structure of Rb3SrW.

Energy relative to the lowest polymorph listed for this composition ... 44.7 kJ/mol of atoms
E_tot ... -8.21 eV per formula unit
Energy relative to the elements ... 1865 meV per atom

a = 7.953 Å, b = 7.953 Å, c = 7.953 Å
α = 90.00°, β = 90.00°, γ = 90.00°
Space group Pm-3m (No. 221)
One atom of each set of equivalent atoms:
Rb  0.000  0.000  0.500 x3
Sr  0.000  0.000  0.000 x1
W  0.500  0.500  0.500 x1


[3]
## Rb2SrW (PBE-GGA)

Data for a relaxed structure of Rb2SrW.

Energy relative to the lowest polymorph listed for this composition ... 5.5 kJ/mol of atoms
E_tot ... -10.05 eV per formula unit
Energy relative to the elements ... 1629 meV per atom

a = 9.145 Å, b = 9.145 Å, c = 9.145 Å
α = 90.00°, β = 90.00°, γ = 90.00°
Space group Fm-3m (No. 225)
One atom of each set of equivalent atoms:
Rb  0.250  0.250  0.250 x8
Sr  0.000  0.000  0.000 x4
W  0.000  0.000  0.500 x4


[4]
## RbSrW2 (PBE-GGA)

Data for a relaxed structure of RbSrW2.

Energy relative to the lowest polymorph listed for this composition ... 0.0 kJ/mol of atoms
E_tot ... -18.90 eV per formula unit
Energy relative to the elements ... 2414 meV per atom

a = 9.096 Å, b = 9.096 Å, c = 5.480 Å
α = 90.00°, β = 90.00°, γ = 90.00°
Space group I-42d (No. 122)
One atom of each set of equivalent atoms:
Rb  0.000  0.000  0.000 x4
Sr  0.000  0.000  0.500 x4
W  0.248  0.250  0.625 x8


[5]
## RbSrW2 (PBE-GGA)

Data for a relaxed structure of RbSrW2.

Energy relative to the lowest polymorph listed for this composition ... 23.0 kJ/mol of atoms
E_tot ... -17.95 eV per formula unit
Energy relative to the elements ... 2652 meV per atom

a = 7.773 Å, b = 7.773 Å, c = 7.773 Å
α = 90.00°, β = 90.00°, γ = 90.00°
Space group Fm-3m (No. 225)
One atom of each set of equivalent atoms:
Rb  0.000  0.000  0.000 x4
Sr  0.000  0.000  0.500 x4
W  0.250  0.250  0.250 x8


[6]
## RbSr3W (PBE-GGA)

Data for a relaxed structure of RbSr3W.

Energy relative to the lowest polymorph listed for this composition ... 125.0 kJ/mol of atoms
E_tot ... -7.95 eV per formula unit
Energy relative to the elements ... 2202 meV per atom

a = 5.883 Å, b = 5.883 Å, c = 5.883 Å
α = 90.00°, β = 90.00°, γ = 90.00°
Space group Pm-3m (No. 221)
One atom of each set of equivalent atoms:
Rb  0.000  0.000  0.000 x1
Sr  0.000  0.000  0.500 x3
W  0.500  0.500  0.500 x1


[7]
## Rb2SrW (PBE-GGA)

Data for a relaxed structure of Rb2SrW.

Energy relative to the lowest polymorph listed for this composition ... 0.0 kJ/mol of atoms
E_tot ... -10.28 eV per formula unit
Energy relative to the elements ... 1572 meV per atom

a = 5.172 Å, b = 5.172 Å, c = 28.476 Å
α = 90.00°, β = 90.00°, γ = 90.00°
Space group I-42d (No. 122)
One atom of each set of equivalent atoms:
Rb  0.229  0.250  0.125 x8
Sr  0.000  0.000  0.500 x4
W  0.000  0.000  0.000 x4


[8]
## RbSrW3 (PBE-GGA)

Data for a relaxed structure of RbSrW3.

Energy relative to the lowest polymorph listed for this composition ... 0.0 kJ/mol of atoms
E_tot ... -23.69 eV per formula unit
Energy relative to the elements ... 3564 meV per atom

a = 4.921 Å, b = 4.921 Å, c = 4.921 Å
α = 90.00°, β = 90.00°, γ = 90.00°
Space group Pm-3m (No. 221)
One atom of each set of equivalent atoms:
Rb  0.000  0.000  0.000 x1
Sr  0.500  0.500  0.500 x1
W  0.000  0.000  0.500 x3


[9]
## Rb3SrW (PBE-GGA)

Data for a relaxed structure of Rb3SrW.

Energy relative to the lowest polymorph listed for this composition ... 0.0 kJ/mol of atoms
E_tot ... -10.53 eV per formula unit
Energy relative to the elements ... 1402 meV per atom

a = 7.135 Å, b = 7.135 Å, c = 7.135 Å
α = 90.00°, β = 90.00°, γ = 90.00°
Space group Pm-3m (No. 221)
One atom of each set of equivalent atoms:
Rb  0.000  0.000  0.500 x3
Sr  0.500  0.500  0.500 x1
W  0.000  0.000  0.000 x1


[10]
## RbSrZn2W (PBE-GGA)

Data for a relaxed structure of RbSrZn2W.

E_tot ... -14.02 eV per formula unit
Energy relative to the elements ... 827 meV per atom

a = 5.216 Å, b = 5.216 Å, c = 5.530 Å
α = 90.00°, β = 90.00°, γ = 90.00°
Space group P4/mmm (No. 123)
One atom of each set of equivalent atoms:
Rb  0.000  0.000  0.000 x1
Sr  0.500  0.500  0.000 x1
Zn  0.000  0.500  0.500 x2
W  0.500  0.500  0.500 x1


[11]
## Rb3SrY (PBE-GGA)

Data for a relaxed structure of Rb3SrY.

Energy relative to the lowest polymorph listed for this composition ... 0.0 kJ/mol of atoms
E_tot ... -6.89 eV per formula unit
Energy relative to the elements ... 831 meV per atom

a = 7.335 Å, b = 7.335 Å, c = 7.335 Å
α = 90.00°, β = 90.00°, γ = 90.00°
Space group Pm-3m (No. 221)
One atom of each set of equivalent atoms:
Rb  0.000  0.000  0.500 x3
Sr  0.500  0.500  0.500 x1
Y  0.000  0.000  0.000 x1


[12]
## RbSrY2 (PBE-GGA)

Data for a relaxed structure of RbSrY2.

Energy relative to the lowest polymorph listed for this composition ... 15.0 kJ/mol of atoms
E_tot ... -12.42 eV per formula unit
Energy relative to the elements ... 790 meV per atom

a = 9.859 Å, b = 9.859 Å, c = 6.963 Å
α = 90.00°, β = 90.00°, γ = 90.00°
Space group I-42d (No. 122)
One atom of each set of equivalent atoms:
Rb  0.000  0.000  0.000 x4
Sr  0.000  0.000  0.500 x4
Y  0.241  0.250  0.125 x8